# Sr2CoAu, optimized geometry, DFT PBE
data_Sr2CoAu
_symmetry_space_group_name_H-M 'F -4 3 m'
_symmetry_Int_Tables_number 216
_symmetry_space_group_name_Hall 'F -4 2 3'
_cell_length_a 7.307
_cell_length_b 7.307
_cell_length_c 7.307
_cell_angle_alpha 90.00
_cell_angle_beta 90.00
_cell_angle_gamma 90.00
loop_
_atom_site_label
_atom_site_type_symbol
_atom_site_fract_x
_atom_site_fract_y
_atom_site_fract_z
_atom_site_occupancy
Sr1 Sr 0.000 0.000 0.000 1
Sr2 Sr 0.250 0.250 0.250 1
Co1 Co 0.250 0.250 0.750 1
Au1 Au 0.000 0.000 0.500 1
# - formation energy (eV per atom) = 0.279
# - theoretical density (g/cm³) = 7.34


# YIn6Ni4, optimized geometry, DFT PBE
data_YIn6Ni4
_symmetry_space_group_name_H-M 'I -4 2 m'
_symmetry_Int_Tables_number 121
_symmetry_space_group_name_Hall 'I -4 2'
_cell_length_a 6.704
_cell_length_b 6.704
_cell_length_c 9.618
_cell_angle_alpha 90.00
_cell_angle_beta 90.00
_cell_angle_gamma 90.00
loop_
_atom_site_label
_atom_site_type_symbol
_atom_site_fract_x
_atom_site_fract_y
_atom_site_fract_z
_atom_site_occupancy
Y1 Y 0.000 0.000 0.000 1
In1 In 0.000 0.500 0.000 1
In2 In 0.179 0.179 0.288 1
Ni1 Ni 0.165 0.165 0.568 1
# - formation energy (eV per atom) = -0.278
# - theoretical density (g/cm³) = 7.78


# NiPtSe2, optimized geometry, DFT PBE
data_NiPtSe2
_symmetry_space_group_name_H-M 'C 1 2/m 1'
_symmetry_Int_Tables_number 12
_cell_length_a 6.319
_cell_length_b 3.674
_cell_length_c 6.253
_cell_angle_alpha 90.00
_cell_angle_beta 109.88
_cell_angle_gamma 90.00
loop_
_symmetry_equiv_pos_as_xyz
'x,y,z'
'-x,-y,-z'
'-x,y,-z'
'x,-y,z'
'x+1/2,y+1/2,z'
'-x+1/2,-y+1/2,-z'
'-x+1/2,y+1/2,-z'
'x+1/2,-y+1/2,z'
loop_
_atom_site_label
_atom_site_type_symbol
_atom_site_fract_x
_atom_site_fract_y
_atom_site_fract_z
_atom_site_occupancy
Ni1 Ni 0.000 0.000 0.000 1
Pt1 Pt 0.000 0.500 0.500 1
Se1 Se 0.246 0.500 0.235 1
# - E_form (uncorrected) (eV/atom) = -0.06
# - theoretical density (g/cm³) = 10.02


# Al2HgPt, optimized geometry, DFT PBE
data_Al2HgPt
_symmetry_space_group_name_H-M 'C 1 2/m 1'
_symmetry_Int_Tables_number 12
_cell_length_a 7.941
_cell_length_b 2.909
_cell_length_c 7.513
_cell_angle_alpha 90.00
_cell_angle_beta 111.98
_cell_angle_gamma 90.00
loop_
_symmetry_equiv_pos_as_xyz
'x,y,z'
'-x,-y,-z'
'-x,y,-z'
'x,-y,z'
'x+1/2,y+1/2,z'
'-x+1/2,-y+1/2,-z'
'-x+1/2,y+1/2,-z'
'x+1/2,-y+1/2,z'
loop_
_atom_site_label
_atom_site_type_symbol
_atom_site_fract_x
_atom_site_fract_y
_atom_site_fract_z
_atom_site_occupancy
Al1 Al 0.225 0.000 0.320 1
Hg1 Hg 0.000 0.500 0.000 1
Pt1 Pt 0.000 0.000 0.500 1
# - formation energy (eV per atom) = -0.346
# - theoretical density (g/cm³) = 9.28


# PaTlO2, optimized geometry, DFT PBE
data_PaTlO2
_symmetry_space_group_name_H-M 'R -3 m'
_symmetry_Int_Tables_number 166
_symmetry_space_group_name_Hall '-R 3 2"'
_cell_length_a 3.6649
_cell_length_b 3.6649
_cell_length_c 23.0592
_cell_angle_alpha 90.00
_cell_angle_beta 90.00
_cell_angle_gamma 120.00
loop_
_atom_site_label
_atom_site_type_symbol
_atom_site_fract_x
_atom_site_fract_y
_atom_site_fract_z
_atom_site_occupancy
Pa1 Pa 0.0000 0.0000 0.0000 1
Tl1 Tl 0.0000 0.0000 0.5000 1
O1 O 0.0000 0.0000 0.3711 1
# - E_form (uncorrected) (eV/atom) = -2.35
# - theoretical density (g/cm³) = 8.68


# Rb2SnNF6, optimized geometry, DFT PBE
data_Rb2SnNF6
_symmetry_space_group_name_H-M 'I 4/m m m'
_symmetry_Int_Tables_number 139
_symmetry_space_group_name_Hall '-I 4 2'
_cell_length_a 6.591
_cell_length_b 6.591
_cell_length_c 9.361
_cell_angle_alpha 90.00
_cell_angle_beta 90.00
_cell_angle_gamma 90.00
loop_
_atom_site_label
_atom_site_type_symbol
_atom_site_fract_x
_atom_site_fract_y
_atom_site_fract_z
_atom_site_occupancy
Rb1 Rb 0.000 0.500 0.250 1
Sn1 Sn 0.000 0.000 0.000 1
N1 N 0.000 0.000 0.500 1
F1 F 0.000 0.000 0.214 1
F2 F 0.215 0.215 0.000 1
# - E_form (uncorrected) (eV/atom) = -1.92
# - theoretical density (g/cm³) = 3.41


# SiAs2Br, optimized geometry, DFT PBE
data_SiAs2Br
_symmetry_space_group_name_H-M 'C 1 2/m 1'
_symmetry_Int_Tables_number 12
_cell_length_a 5.488
_cell_length_b 8.005
_cell_length_c 4.847
_cell_angle_alpha 90.00
_cell_angle_beta 124.31
_cell_angle_gamma 90.00
loop_
_symmetry_equiv_pos_as_xyz
'x,y,z'
'-x,-y,-z'
'-x,y,-z'
'x,-y,z'
'x+1/2,y+1/2,z'
'-x+1/2,-y+1/2,-z'
'-x+1/2,y+1/2,-z'
'x+1/2,-y+1/2,z'
loop_
_atom_site_label
_atom_site_type_symbol
_atom_site_fract_x
_atom_site_fract_y
_atom_site_fract_z
_atom_site_occupancy
Si1 Si 0.000 0.000 0.000 1
As1 As 0.250 0.250 0.500 1
Br1 Br 0.000 0.500 0.000 1
# - E_form (uncorrected) (eV/atom) = 0.41
# - theoretical density (g/cm³) = 4.87


# La2IrAu, optimized geometry, DFT PBE
data_La2IrAu
_symmetry_space_group_name_H-M 'I -4 m 2'
_symmetry_Int_Tables_number 119
_symmetry_space_group_name_Hall 'I -4 -2'
_cell_length_a 4.369
_cell_length_b 4.369
_cell_length_c 9.975
_cell_angle_alpha 90.00
_cell_angle_beta 90.00
_cell_angle_gamma 90.00
loop_
_atom_site_label
_atom_site_type_symbol
_atom_site_fract_x
_atom_site_fract_y
_atom_site_fract_z
_atom_site_occupancy
La1 La 0.000 0.000 0.000 1
La2 La 0.000 0.500 0.250 1
Ir1 Ir 0.000 0.000 0.500 1
Au1 Au 0.000 0.500 0.750 1
# - formation energy (eV per atom) = -0.504
# - theoretical density (g/cm³) = 11.64


# Rb2SiBiIr, optimized geometry, DFT PBE
data_Rb2SiBiIr
_symmetry_space_group_name_H-M 'P 4/m m m'
_symmetry_Int_Tables_number 123
_symmetry_space_group_name_Hall '-P 4 2'
_cell_length_a 6.518
_cell_length_b 6.518
_cell_length_c 5.093
_cell_angle_alpha 90.00
_cell_angle_beta 90.00
_cell_angle_gamma 90.00
loop_
_atom_site_label
_atom_site_type_symbol
_atom_site_fract_x
_atom_site_fract_y
_atom_site_fract_z
_atom_site_occupancy
Rb1 Rb 0.000 0.500 0.000 1
Si1 Si 0.000 0.000 0.500 1
Bi1 Bi 0.500 0.500 0.500 1
Ir1 Ir 0.500 0.500 0.000 1
# - E_form (uncorrected) (eV/atom) = 0.79
# - theoretical density (g/cm³) = 4.61


# DyMg16Al12, optimized geometry, DFT PBE
data_DyMg16Al12
_symmetry_space_group_name_H-M 'R 3 m'
_symmetry_Int_Tables_number 160
_symmetry_space_group_name_Hall 'R 3 -2"'
_cell_length_a 15.0638
_cell_length_b 15.0638
_cell_length_c 8.9760
_cell_angle_alpha 90.00
_cell_angle_beta 90.00
_cell_angle_gamma 120.00
loop_
_atom_site_label
_atom_site_type_symbol
_atom_site_fract_x
_atom_site_fract_y
_atom_site_fract_z
_atom_site_occupancy
Dy1 Dy 0.0000 0.0000 0.0000 1
Mg1 Mg 0.0000 0.0000 0.6255 1
Mg2 Mg 0.0333 0.3605 0.9875 1
Mg3 Mg 0.1059 0.5530 0.1770 1
Mg4 Mg 0.1103 0.2207 0.1259 1
Mg5 Mg 0.1995 0.3990 0.7419 1
Al1 Al 0.0020 0.1829 0.8107 1
Al2 Al 0.1224 0.0612 0.3154 1
Al3 Al 0.2127 0.4255 0.2250 1
# - formation energy (eV per atom) = -0.071
# - theoretical density (g/cm³) = 2.47


# Cs2SrCoBr6, optimized geometry, DFT PBE
data_Cs2SrCoBr6
_symmetry_space_group_name_H-M 'P -3 m 1'
_symmetry_Int_Tables_number 164
_symmetry_space_group_name_Hall '-P 3 2"'
_cell_length_a 7.9300
_cell_length_b 7.9300
_cell_length_c 7.2049
_cell_angle_alpha 90.00
_cell_angle_beta 90.00
_cell_angle_gamma 120.00
loop_
_atom_site_label
_atom_site_type_symbol
_atom_site_fract_x
_atom_site_fract_y
_atom_site_fract_z
_atom_site_occupancy
Cs1 Cs 0.3333 0.6667 0.3131 1
Sr1 Sr 0.0000 0.0000 0.0000 1
Co1 Co 0.0000 0.0000 0.5000 1
Br1 Br 0.1582 0.3165 0.7100 1
# - E_form (uncorrected) (eV/atom) = -1.42
# - theoretical density (g/cm³) = 3.77


# NdMnGa4Cu2, optimized geometry, DFT PBE
data_NdMnGa4Cu2
_symmetry_space_group_name_H-M 'R -3 m'
_symmetry_Int_Tables_number 166
_symmetry_space_group_name_Hall '-R 3 2"'
_cell_length_a 4.1957
_cell_length_b 4.1957
_cell_length_c 27.0816
_cell_angle_alpha 90.00
_cell_angle_beta 90.00
_cell_angle_gamma 120.00
loop_
_atom_site_label
_atom_site_type_symbol
_atom_site_fract_x
_atom_site_fract_y
_atom_site_fract_z
_atom_site_occupancy
Nd1 Nd 0.0000 0.0000 0.0000 1
Mn1 Mn 0.0000 0.0000 0.5000 1
Ga1 Ga 0.0000 0.0000 0.1281 1
Ga2 Ga 0.0000 0.0000 0.4028 1
Cu1 Cu 0.0000 0.0000 0.2344 1
# - formation energy (eV per atom) = -0.254
# - theoretical density (g/cm³) = 7.30